Computed, not measured: a relaxed structure of Sc2MnSb at the PBE level of DFT.

Cell lengths 3.6422, 3.6490, 7.1867 Å; angles 59.48, 90.00, 90.00 degrees
Closest atoms and distances in Å follow each position.
Positions (direct):
Sb1 0.5000 0.7500 0.7500  8 Sc 3.03, 2 Mn 3.10
Sc1 0.0000 0.9929 0.0070  4 Mn 2.98, 2 Sc 3.01-3.18, 4 Sb 3.03
Sc2 0.0000 0.5071 0.4930  4 Mn 2.98, 2 Sc 3.01-3.18, 4 Sb 3.03
Mn1 0.5000 0.2500 0.2500  8 Sc 2.98, 2 Sb 3.10

Computed properties:
Its uncorrected formation energy is -346 meV/atom. Its total magnetic moment is 2.549 μB/cell. The density of states at the Fermi level comes out at 3.50 states/eV/f.u. The energy is -6.83 eV per atom.